(1)
# Li2Be2GaAu5 GGA-PBE optimized geometry
data_Li2Be2GaAu5
_chemical_formula_sum 'Li4 Be4 Ga2 Au10'
_cell_length_a 9.905
_cell_length_b 9.905
_cell_length_c 3.235
_cell_angle_alpha 90.00
_cell_angle_beta 90.00
_cell_angle_gamma 90.00
_space_group_name_H-M_alt 'P 4/m b m'
_space_group_IT_number 127
_space_group_name_Hall '-P 4 2ab'
loop_
_atom_site_label
_atom_site_fract_x
_atom_site_fract_y
_atom_site_fract_z
Li1 0.171 0.329 0.000
Be1 0.125 0.625 0.000
Ga1 0.000 0.000 0.000
Au1 0.000 0.500 0.500
Au2 0.082 0.795 0.500
# - ΔE_f (eV per atom) = -0.326
# - N(E_F) (states/eV per cell) = 3.338

---

(2)
# Li2BeGaAu6 GGA-PBE optimized geometry
data_Li2BeGaAu6
_chemical_formula_sum 'Li2 Be1 Ga1 Au6'
_cell_length_a 5.515
_cell_length_b 5.553
_cell_length_c 8.324
_cell_angle_alpha 71.30
_cell_angle_beta 71.50
_cell_angle_gamma 61.68
_space_group_name_H-M_alt 'P -1'
_space_group_IT_number 2
loop_
_space_group_symop_operation_xyz
'x,y,z'
'-x,-y,-z'
loop_
_atom_site_label
_atom_site_fract_x
_atom_site_fract_y
_atom_site_fract_z
Li1 0.201 0.196 0.403
Be1 0.500 0.500 0.500
Ga1 0.000 0.000 0.000
Au1 0.244 0.740 0.276
Au2 0.256 0.261 0.722
Au3 0.257 0.762 0.721
# - ΔE_f (eV per atom) = -0.215
# - N(E_F) (states/eV per cell) = 3.221

---

(3)
# BeGaMo2Au GGA-PBE optimized geometry
data_BeGaMo2Au
_chemical_formula_sum 'Be1 Ga1 Mo2 Au1'
_cell_length_a 4.276
_cell_length_b 4.276
_cell_length_c 4.284
_cell_angle_alpha 90.00
_cell_angle_beta 90.00
_cell_angle_gamma 90.00
_space_group_name_H-M_alt 'P 4/m m m'
_space_group_IT_number 123
_space_group_name_Hall '-P 4 2'
loop_
_atom_site_label
_atom_site_fract_x
_atom_site_fract_y
_atom_site_fract_z
Be1 0.000 0.000 0.000
Ga1 0.500 0.500 0.500
Mo1 0.000 0.500 0.000
Au1 0.000 0.000 0.500
# - ΔE_f (eV per atom) = 0.596
# - N(E_F) (states/eV per cell) = 4.705

---

(4)
# Na2BeGaAu6 GGA-PBE optimized geometry
data_Na2BeGaAu6
_chemical_formula_sum 'Na4 Be2 Ga2 Au12'
_cell_length_a 11.387
_cell_length_b 6.587
_cell_length_c 6.915
_cell_angle_alpha 90.00
_cell_angle_beta 123.17
_cell_angle_gamma 90.00
_space_group_name_H-M_alt 'C 1 2/m 1'
_space_group_IT_number 12
loop_
_space_group_symop_operation_xyz
'x,y,z'
'-x,-y,-z'
'-x,y,-z'
'x,-y,z'
'x+1/2,y+1/2,z'
'-x+1/2,-y+1/2,-z'
'-x+1/2,y+1/2,-z'
'x+1/2,-y+1/2,z'
loop_
_atom_site_label
_atom_site_fract_x
_atom_site_fract_y
_atom_site_fract_z
Na1 0.213 0.000 0.138
Be1 0.000 0.000 0.500
Ga1 0.000 0.500 0.000
Au1 0.040 0.279 0.338
Au2 0.240 0.000 0.663
# - ΔE_f (eV per atom) = -0.215
# - N(E_F) (states/eV per cell) = 5.401

---

(5)
# NaBeGaAu2 GGA-PBE optimized geometry
data_NaBeGaAu2
_chemical_formula_sum 'Na1 Be1 Ga1 Au2'
_cell_length_a 4.871
_cell_length_b 4.871
_cell_length_c 5.214
_cell_angle_alpha 90.00
_cell_angle_beta 90.00
_cell_angle_gamma 90.00
_space_group_name_H-M_alt 'P 4/m m m'
_space_group_IT_number 123
_space_group_name_Hall '-P 4 2'
loop_
_atom_site_label
_atom_site_fract_x
_atom_site_fract_y
_atom_site_fract_z
Na1 0.000 0.000 0.000
Be1 0.500 0.500 0.000
Ga1 0.000 0.000 0.500
Au1 0.000 0.500 0.500
# - ΔE_f (eV per atom) = 0.663
# - N(E_F) (states/eV per cell) = 1.902

---

(6)
# Nd2BeGa4Au3 GGA-PBE optimized geometry
data_Nd2BeGa4Au3
_chemical_formula_sum 'Nd2 Be1 Ga4 Au3'
_cell_length_a 4.281
_cell_length_b 4.281
_cell_length_c 10.882
_cell_angle_alpha 90.00
_cell_angle_beta 90.00
_cell_angle_gamma 90.00
_space_group_name_H-M_alt 'P -4 m 2'
_space_group_IT_number 115
loop_
_space_group_symop_operation_xyz
'x,y,z'
'y,-x,-z'
'-x,-y,z'
'-y,x,-z'
'-x,y,z'
'-y,-x,-z'
'x,-y,z'
'y,x,-z'
loop_
_atom_site_label
_atom_site_fract_x
_atom_site_fract_y
_atom_site_fract_z
Nd1 0.000 0.500 0.239
Be1 0.500 0.500 0.000
Ga1 0.000 0.000 0.500
Ga2 0.000 0.500 0.874
Ga3 0.500 0.500 0.500
Au1 0.000 0.000 0.000
Au2 0.000 0.500 0.640
# - ΔE_f (eV per atom) = -0.554
# - N(E_F) (states/eV per cell) = 4.758

---

(7)
# Nd2BeGa3Au4 GGA-PBE optimized geometry
data_Nd2BeGa3Au4
_chemical_formula_sum 'Nd2 Be1 Ga3 Au4'
_cell_length_a 4.404
_cell_length_b 4.404
_cell_length_c 10.331
_cell_angle_alpha 90.00
_cell_angle_beta 90.00
_cell_angle_gamma 90.00
_space_group_name_H-M_alt 'P -4 m 2'
_space_group_IT_number 115
loop_
_space_group_symop_operation_xyz
'x,y,z'
'y,-x,-z'
'-x,-y,z'
'-y,x,-z'
'-x,y,z'
'-y,-x,-z'
'x,-y,z'
'y,x,-z'
loop_
_atom_site_label
_atom_site_fract_x
_atom_site_fract_y
_atom_site_fract_z
Nd1 0.000 0.500 0.241
Be1 0.500 0.500 0.000
Ga1 0.000 0.000 0.000
Ga2 0.000 0.500 0.638
Au1 0.000 0.000 0.500
Au2 0.000 0.500 0.881
Au3 0.500 0.500 0.500
# - ΔE_f (eV per atom) = -0.584
# - N(E_F) (states/eV per cell) = 5.117

---

(8)
# NdBeGa2Au4 GGA-PBE optimized geometry
data_NdBeGa2Au4
_chemical_formula_sum 'Nd3 Be3 Ga6 Au12'
_cell_length_a 4.4497
_cell_length_b 4.4497
_cell_length_c 26.1523
_cell_angle_alpha 90.00
_cell_angle_beta 90.00
_cell_angle_gamma 120.00
_space_group_name_H-M_alt 'R -3 m'
_space_group_IT_number 166
_space_group_name_Hall '-R 3 2"'
loop_
_atom_site_label
_atom_site_fract_x
_atom_site_fract_y
_atom_site_fract_z
Nd1 0.0000 0.0000 0.0000
Be1 0.0000 0.0000 0.5000
Ga1 0.0000 0.0000 0.2511
Au1 0.0000 0.0000 0.1416
Au2 0.0000 0.0000 0.4058
# - ΔE_f (eV per atom) = -0.398
# - N(E_F) (states/eV per cell) = 5.588